Here is crystalline Cr2BiF at its relaxed geometry from the Alexandria database. Energies are from PBE with a Hubbard U.

extended XYZ file:
```
8
Lattice="-2.700 2.700 6.336 2.700 -2.700 6.336 2.700 2.700 -6.336" Properties=species:S:1:pos:R:3 pbc="T T T"
Cr -0.630 1.350 1.584
Cr 1.350 2.070 4.752
Cr 0.630 4.049 1.584
Cr -1.350 3.329 4.752
Bi 2.700 0.000 3.168
Bi 0.000 0.000 6.336
F 0.000 0.000 0.000
F 0.000 2.700 3.168
```

Values from the calculation:
* energy above the most stable polymorph in this dataset: 0.000 eV/atom